# 1
The following is a DFT calculation (PBE-GGA) of a relaxed structure of Sc2TcBAu.

```
Sc2TcBAu
1.0
4.660 0.000 0.000
0.000 4.660 0.000
0.000 0.000 3.975
Sc Tc B Au
2 1 1 1
direct
0.000 0.500 0.000 Sc
0.500 0.000 0.000 Sc
0.000 0.000 0.500 Tc
0.000 0.000 0.000 B
0.500 0.500 0.500 Au
```

The calculation puts the formation energy at -331 meV per atom. As for the symmetry: P4/mmm, No. 123.



# 2
The following is a DFT calculation (PBE-GGA) of a relaxed structure of Pr8NiS3I4.

```
Pr8NiS3I4
1.0
4.197 2.423 7.814
-4.197 2.423 7.814
0.000 -4.846 7.814
Pr Ni S I
8 1 3 4
direct
0.229 0.229 0.229 Pr
0.237 0.726 0.726 Pr
0.274 0.274 0.763 Pr
0.274 0.763 0.274 Pr
0.726 0.237 0.726 Pr
0.726 0.726 0.237 Pr
0.763 0.274 0.274 Pr
0.771 0.771 0.771 Pr
0.500 0.500 0.500 Ni
0.000 0.000 0.500 S
0.000 0.500 0.000 S
0.500 0.000 0.000 S
0.000 0.000 0.000 I
0.000 0.500 0.500 I
0.500 0.000 0.500 I
0.500 0.500 0.000 I
```

As for the symmetry: R-3m, No. 166. The uncorrected formation energy is -1.27 eV/atom.



# 3
The following is a DFT calculation (PBE-GGA) of a relaxed structure of Al5ZnGa.

```
Al5ZnGa
1.0
4.066 0.000 0.000
0.000 4.066 0.000
0.000 0.000 7.472
Al Zn Ga
5 1 1
direct
0.000 0.000 0.000 Al
0.000 0.500 0.272 Al
0.000 0.500 0.728 Al
0.500 0.000 0.272 Al
0.500 0.000 0.728 Al
0.500 0.500 0.500 Zn
0.500 0.500 0.000 Ga
```

The calculation puts the formation energy at 75 meV per atom. As for the symmetry: P4/mmm, No. 123. The calculation puts the energy above the most stable polymorph in this dataset at 0.00 eV/f.u.



# 4
The following is a DFT calculation (PBE-GGA) of a relaxed structure of MgCo2Rh.

```
MgCo2Rh
1.0
1.358 0.784 8.544
-1.358 0.784 8.544
0.000 -1.568 8.544
Mg Co Rh
1 2 1
direct
0.000 0.000 0.000 Mg
0.247 0.247 0.247 Co
0.753 0.753 0.753 Co
0.500 0.500 0.500 Rh
```

The calculation puts the formation energy at 199 meV per atom. As for the symmetry: R-3m, No. 166.



# 5
The following is a DFT calculation (PBE-GGA) of a relaxed structure of KBa2La.

```
KBa2La
1.0
2.354 -3.364 0.000
2.354 3.364 0.000
0.000 0.000 14.045
K Ba La
1 2 1
direct
0.000 0.000 0.000 K
0.500 0.500 0.274 Ba
0.500 0.500 0.726 Ba
0.000 0.000 0.500 La
```

The calculation puts the formation energy at 166 meV per atom. As for the symmetry: Cmmm, No. 65. The calculation puts the energy above the most stable polymorph in this dataset at 0.05 eV/f.u.



# 6
The following is a DFT calculation (PBE-GGA) of a relaxed structure of NaAsF4.

```
NaAsF4
1.0
5.926 0.000 0.000
0.000 5.756 0.000
0.000 0.000 5.710
Na As F
2 2 8
direct
0.000 0.035 0.000 Na
0.500 0.965 0.500 Na
0.000 0.599 0.428 As
0.500 0.401 0.928 As
0.000 0.396 0.155 F
0.000 0.849 0.653 F
0.214 0.766 0.272 F
0.286 0.234 0.772 F
0.500 0.151 0.153 F
0.500 0.604 0.655 F
0.714 0.234 0.772 F
0.786 0.766 0.272 F
```

As for the symmetry: Pmn2_1, No. 31. The uncorrected formation energy is -2.36 eV/atom.



> What is the formula in the first record?

Sc2TcBAu